Entry 1:
A relaxed structure of Pu6AlSi2, computed with PBE.

Cell and atoms, written as POSCAR:
```
Pu6AlSi2
1.0
8.6184 0.0000 0.0000
-4.3092 7.4637 0.0000
0.0000 0.0000 3.0685
Pu Al Si
6 1 2
direct
0.0000 0.3371 0.0000
0.0000 0.6629 0.0000
0.3371 0.0000 0.0000
0.3371 0.3371 0.0000
0.6629 0.0000 0.0000
0.6629 0.6629 0.0000
0.0000 0.0000 0.5000
0.3333 0.6667 0.5000
0.6667 0.3333 0.5000
```

Calculated values
The uncorrected formation energy is -0.37 kcal/mol of atoms. The calculation puts the uncorrected energy at -100.73 eV per cell. The density is 13.016 g/cm3. The symmetry is P6/mmm, No. 191.

***

Entry 2:
A relaxed structure of Fe6PdPt5, computed with PBE.

Cell and atoms, written as POSCAR:
```
Fe6PdPt5
1.0
-1.9358 3.7615 5.7771
1.9358 -3.7615 5.7771
1.9358 3.7615 -5.7771
Fe Pd Pt
6 1 5
direct
0.0826 0.3328 0.7498
0.2496 0.0000 0.2496
0.4169 0.6672 0.7498
0.5831 0.3328 0.2502
0.7504 0.0000 0.7504
0.9174 0.6672 0.2502
0.5000 0.5000 0.0000
0.0000 0.5000 0.5000
0.1671 0.1671 0.0000
0.3345 0.8345 0.5000
0.6655 0.1655 0.5000
0.8329 0.8329 0.0000
```

Calculated values
The calculation puts the uncorrected energy at -88.78 eV per cell. The density is 13.983 g/cm3. The symmetry is Immm, No. 71.

***

Entry 3:
A relaxed structure of TlSn4I8, computed with PBE.

Cell and atoms, written as POSCAR:
```
TlSn4I8
1.0
4.7659 2.7516 7.7992
-4.7659 2.7516 7.7992
0.0000 -5.5032 7.7992
Tl Sn I
1 4 8
direct
0.0000 0.0000 0.0000
0.0000 0.0000 0.5000
0.0000 0.5000 0.0000
0.5000 0.0000 0.0000
0.5000 0.5000 0.5000
0.2397 0.2397 0.2397
0.2444 0.7393 0.7393
0.2607 0.2607 0.7556
0.2607 0.7556 0.2607
0.7393 0.2444 0.7393
0.7393 0.7393 0.2444
0.7556 0.2607 0.2607
0.7603 0.7603 0.7603
```

Calculated values
The uncorrected formation energy is -9.73 kcal/mol of atoms. The calculation puts the uncorrected energy at -36.26 eV per cell. The density is 4.585 g/cm3. Its energy above the most stable polymorph in this dataset is 0.0000 eV/atom. The symmetry is R-3m, No. 166.

***

Entry 4:
A relaxed structure of YZnCu2, computed with PBE.

Cell and atoms, written as POSCAR:
```
YZnCu2
1.0
3.4639 0.0000 0.0000
0.0000 4.2423 0.0000
-1.0097 0.0000 5.0015
Y Zn Cu
1 1 2
direct
0.0000 0.0000 0.0000
0.6263 0.5000 0.3303
0.4166 0.0000 0.5314
0.4271 0.5000 0.7837
```

Calculated values
The calculation puts the uncorrected energy at -16.27 eV per cell. The density is 6.358 g/cm3. The symmetry is Pm, No. 6.

***

Entry 5:
A relaxed structure of TbGa8Pd4, computed with PBE.

Cell and atoms, written as POSCAR:
```
TbGa8Pd4
1.0
-4.4281 4.4281 2.7847
4.4281 -4.4281 2.7847
4.4281 4.4281 -2.7847
Tb Ga Pd
1 8 4
direct
0.0000 0.0000 0.0000
0.0000 0.3485 0.3485
0.0000 0.6515 0.6515
0.2835 0.5000 0.7835
0.3485 0.0000 0.3485
0.5000 0.2835 0.7835
0.5000 0.7165 0.2165
0.6515 0.0000 0.6515
0.7165 0.5000 0.2165
0.0000 0.0000 0.5000
0.0000 0.5000 0.0000
0.5000 0.0000 0.0000
0.5000 0.5000 0.5000
```

Calculated values
The calculation puts the uncorrected energy at -56.71 eV per cell. The density is 8.685 g/cm3. The symmetry is I4/mmm, No. 139.

***

Entry 6:
A relaxed structure of Sr2HgBr, computed with PBE.

Cell and atoms, written as POSCAR:
```
Sr2HgBr
1.0
5.3565 0.0000 0.0000
0.0000 2.0188 6.4647
0.0000 -2.0188 6.4647
Sr Hg Br
2 1 1
direct
0.0000 0.0000 0.0000
0.5000 0.2561 0.2561
0.5000 0.5249 0.5249
0.0000 0.7556 0.7556
```

Calculated values
The uncorrected formation energy is -20.92 kcal/mol of atoms. The calculation puts the uncorrected energy at -8.97 eV per cell. The density is 5.413 g/cm3. Its energy above the most stable polymorph in this dataset is 0.0907 eV/atom. The symmetry is Amm2, No. 38.

***

Entry 7:
A relaxed structure of SiAsPCl2, computed with PBE.

Cell and atoms, written as POSCAR:
```
SiAsPCl2
1.0
4.5235 0.0000 0.0000
0.0000 4.5235 0.0000
0.0000 0.0000 5.0740
Si As P Cl
1 1 1 2
direct
0.0000 0.0000 0.0000
0.5000 0.5000 0.5000
0.0000 0.0000 0.5000
0.0000 0.5000 0.0000
0.5000 0.0000 0.0000
```

Calculated values
The uncorrected formation energy is 8.20 kcal/mol of atoms. The calculation puts the uncorrected energy at -17.40 eV per cell. The density is 3.277 g/cm3. Its energy above the most stable polymorph in this dataset is 0.0000 eV/atom. The symmetry is P4/mmm, No. 123.

***

Entry 8:
A relaxed structure of K2HgBi2, computed with PBE.

Cell and atoms, written as POSCAR:
```
K2HgBi2
1.0
5.0178 0.0000 0.0000
0.0000 2.4169 7.9500
0.0000 -2.4169 7.9500
K Hg Bi
2 1 2
direct
0.0000 0.0000 0.0000
0.0000 0.2346 0.2346
0.5000 0.4273 0.4273
0.5000 0.6195 0.6195
0.5000 0.8141 0.8141
```

Calculated values
The calculation puts the uncorrected energy at -11.44 eV per cell. The density is 6.000 g/cm3. Its energy above the most stable polymorph in this dataset is 0.0616 eV/atom. The symmetry is Amm2, No. 38.

***

> Among the records above, which one has the lowest density?

SiAsPCl2

***

> Which value of density does entry 7 give?

3.277 g/cm3

***

> Which of these has the highest density?

Fe6PdPt5